# SmYTlGa | the Alexandria database | GGA-PBE | relaxed
data_SmYTlGa
_chemical_formula_sum 'Sm1 Y1 Tl1 Ga1'
_space_group_name_H-M_alt 'P 1'
_space_group_IT_number 1
_cell_length_a 3.6485
_cell_length_b 3.6485
_cell_length_c 7.7729
_cell_angle_alpha 90.00
_cell_angle_beta 90.00
_cell_angle_gamma 90.00
loop_
_space_group_symop_operation_xyz
'x,y,z'
loop_
_atom_site_label
_atom_site_fract_x
_atom_site_fract_y
_atom_site_fract_z
Sm1 0.0000 0.0000 0.0000
Y1 0.0000 0.0000 0.5346
Tl1 0.5000 0.5000 0.2740
Ga1 0.5000 0.5000 0.7620
# E ... -18.49 eV/cell
# ρ ... 8239 kg/m³
# Symmetry ... P4mm, No. 99
# Spin magnetization ... 0.000 μB per atom
# Crystal system ... tetragonal